VASP calculation (PBE) on an optimized crystal structure of LiAuN.

## Properties
As for the uncorrected energy: -4.78 eV per atom. The total magnetic moment comes out at 0.0 Bohr magnetons per cell. The calculation puts the mass density at 7.0 g/cm³. For the formation energy without anion corrections, the calculation gives -0.8 eV/f.u.

abc: 2.9177 3.6613 9.9089
angles: 100.54 81.02 89.98
Closest atoms and distances in Å follow each position.
Element x y z (fractional)
Li  0.1270  0.8651  0.2321  1 N 2.01
Li  0.8730  0.1349  0.7679  1 N 2.01
Au  0.7006  0.2963  0.0932  4 Li 2.69-2.70, 6 Au 2.92-2.95
Au  0.2994  0.7037  0.9068  4 Li 2.69-2.70, 6 Au 2.92-2.95
N  0.0298  0.9704  0.4411  1 N 1.13
N  0.9702  0.0296  0.5589  1 N 1.13



VASP calculation (PBE) on an optimized crystal structure of LiAuN2.

## Properties
As for the uncorrected energy: -4.22 eV per atom. The total magnetic moment comes out at 0.0 Bohr magnetons per cell. The calculation puts the mass density at 9.6 g/cm³. For the formation energy without anion corrections, the calculation gives 5.0 eV/f.u.

abc: 3.8466 3.8466 3.8466
angles: 60.00 60.00 60.00
Closest atoms and distances in Å follow each position.
Element x y z (fractional)
Li  0.0000  0.0000  0.0000  8 N 2.36
Au  0.5000  0.5000  0.5000  8 N 2.36
N  0.2500  0.2500  0.2500  4 Li 2.36, 4 Au 2.36
N  0.7500  0.7500  0.7500  4 Li 2.36, 4 Au 2.36



VASP calculation (PBE) on an optimized crystal structure of LiNb2AuN.

## Properties
As for the uncorrected energy: -7.22 eV per atom. The total magnetic moment comes out at 0.0 Bohr magnetons per cell. The calculation puts the mass density at 9.2 g/cm³. For the formation energy without anion corrections, the calculation gives -2.4 eV/f.u.

abc: 4.2306 4.2306 4.0793
angles: 90.00 90.00 90.00
Closest atoms and distances in Å follow each position.
Element x y z (fractional)
Nb  0.0000  0.5000  0.0000  2 N 2.12
Nb  0.5000  0.0000  0.0000  2 N 2.12
Li  0.0000  0.0000  0.5000  2 N 2.04
Au  0.5000  0.5000  0.5000  8 Nb 2.94, 4 Li 2.99
N  0.0000  0.0000  0.0000  2 Li 2.04, 4 Nb 2.12



VASP calculation (PBE) on an optimized crystal structure of LiNiAuN2.

## Properties
As for the uncorrected energy: -3.81 eV per atom. The total magnetic moment comes out at 0.7 Bohr magnetons per cell. The calculation puts the mass density at 8.8 g/cm³. For the formation energy without anion corrections, the calculation gives 8.6 eV/f.u.

abc: 3.7366 3.9448 3.7366
angles: 90.00 90.00 90.00
Closest atoms and distances in Å follow each position.
Element x y z (fractional)
Ni  0.0000  0.5000  0.0000  2 Li 1.97
Li  0.0000  0.0000  0.0000  4 N 1.87, 2 Ni 1.97
Au  0.5000  0.5000  0.5000  4 Ni 2.64, 8 N 2.72
N  0.0000  0.0000  0.5000  2 Li 1.87
N  0.5000  0.0000  0.0000  2 Li 1.87



VASP calculation (PBE) on an optimized crystal structure of Li2NiAuN.

## Properties
As for the uncorrected energy: -4.56 eV per atom. The total magnetic moment comes out at 0.0 Bohr magnetons per cell. The calculation puts the mass density at 7.6 g/cm³. For the formation energy without anion corrections, the calculation gives -1.6 eV/f.u.

abc: 4.2208 4.2208 3.4917
angles: 90.00 90.00 90.00
Closest atoms and distances in Å follow each position.
Element x y z (fractional)
Ni  0.0000  0.0000  0.5000  2 N 1.75
Li  0.0000  0.5000  0.0000  2 N 2.11
Li  0.5000  0.0000  0.0000  2 N 2.11
Au  0.5000  0.5000  0.5000  8 Li 2.74, 4 Ni 2.98
N  0.0000  0.0000  0.0000  2 Ni 1.75



VASP calculation (PBE) on an optimized crystal structure of LiAuN2O.

## Properties
As for the uncorrected energy: -3.60 eV per atom. The total magnetic moment comes out at 0.0 Bohr magnetons per cell. The calculation puts the mass density at 8.2 g/cm³. For the formation energy without anion corrections, the calculation gives 8.8 eV/f.u.

abc: 3.7708 3.7708 3.5519
angles: 90.00 90.00 90.00
Closest atoms and distances in Å follow each position.
Element x y z (fractional)
Li  0.0000  0.0000  0.0000  2 O 1.78, 4 N 1.89
Au  0.5000  0.5000  0.5000  8 N 2.59, 4 O 2.67
O  0.0000  0.0000  0.5000  2 Li 1.78
N  0.0000  0.5000  0.0000  2 Li 1.89
N  0.5000  0.0000  0.0000  2 Li 1.89



VASP calculation (PBE) on an optimized crystal structure of LiAuN2O.

## Properties
As for the uncorrected energy: -3.96 eV per atom. The total magnetic moment comes out at 0.0 Bohr magnetons per cell. The calculation puts the mass density at 6.0 g/cm³. For the formation energy without anion corrections, the calculation gives 7.0 eV/f.u.

abc: 3.9494 3.9494 4.4170
angles: 90.00 90.00 90.00
Closest atoms and distances in Å follow each position.
Element x y z (fractional)
Li  0.5000  0.5000  0.5000  4 O 2.79, 8 N 2.96
Au  0.0000  0.0000  0.0000  4 N 1.97, 2 O 2.21
O  0.0000  0.0000  0.5000  2 Au 2.21
N  0.0000  0.5000  0.0000  2 Au 1.97
N  0.5000  0.0000  0.0000  2 Au 1.97



VASP calculation (PBE) on an optimized crystal structure of Li2PAuN.

## Properties
As for the uncorrected energy: -3.32 eV per atom. The total magnetic moment comes out at 2.4 Bohr magnetons per cell. The calculation puts the mass density at 3.6 g/cm³. For the formation energy without anion corrections, the calculation gives 4.2 eV/f.u.

abc: 5.1506 4.4012 5.1506
angles: 90.00 90.00 90.00
Closest atoms and distances in Å follow each position.
Element x y z (fractional)
P  0.0000  0.5000  0.0000  2 Au 2.20
Li  0.0000  0.0000  0.5000  2 Au 2.58
Li  0.5000  0.0000  0.0000  2 Au 2.58
Au  0.0000  0.0000  0.0000  2 P 2.20
N  0.5000  0.5000  0.5000  8 Li 3.39, 4 P 3.64



VASP calculation (PBE) on an optimized crystal structure of Li5Pr2Au3N2.

## Properties
As for the uncorrected energy: -4.37 eV per atom. The total magnetic moment comes out at 0.0 Bohr magnetons per cell. The calculation puts the mass density at 7.1 g/cm³. For the formation energy without anion corrections, the calculation gives -6.9 eV/f.u.

abc: 4.3206 4.3206 12.0512
angles: 100.33 100.33 90.00
Closest atoms and distances in Å follow each position.
Element x y z (fractional)
Li  0.5784  0.0784  0.1567  2 N 2.17
Li  0.4216  0.9216  0.8433  2 N 2.17
Li  0.0784  0.5784  0.1567  2 N 2.17
Li  0.9216  0.4216  0.8433  2 N 2.17
Li  0.5000  0.5000  0.0000  2 N 2.07
Pr  0.6832  0.6832  0.3663  1 N 2.20
Pr  0.3168  0.3168  0.6337  1 N 2.20
Au  0.1752  0.1752  0.3505  5 Pr 3.06-3.30, 4 Li 3.13
Au  0.8248  0.8248  0.6495  5 Pr 3.06-3.30, 4 Li 3.13
Au  0.0000  0.0000  0.0000  12 Li 2.83-3.06
N  0.4114  0.4114  0.8227  5 Li 2.07-2.17, 1 Pr 2.20
N  0.5886  0.5886  0.1773  5 Li 2.07-2.17, 1 Pr 2.20



VASP calculation (PBE) on an optimized crystal structure of Li2PtAuN.

## Properties
As for the uncorrected energy: -4.59 eV per atom. The total magnetic moment comes out at 0.0 Bohr magnetons per cell. The calculation puts the mass density at 10.3 g/cm³. For the formation energy without anion corrections, the calculation gives -1.5 eV/f.u.

abc: 4.2011 4.2011 3.8414
angles: 90.00 90.00 90.00
Closest atoms and distances in Å follow each position.
Element x y z (fractional)
Li  0.0000  0.5000  0.0000  2 N 2.10
Li  0.5000  0.0000  0.0000  2 N 2.10
Au  0.5000  0.5000  0.5000  8 Li 2.85, 4 Pt 2.97
Pt  0.0000  0.0000  0.5000  2 N 1.92
N  0.0000  0.0000  0.0000  2 Pt 1.92, 4 Li 2.10



VASP calculation (PBE) on an optimized crystal structure of Li2ReAuN.

## Properties
As for the uncorrected energy: -5.80 eV per atom. The total magnetic moment comes out at 0.6 Bohr magnetons per cell. The calculation puts the mass density at 10.6 g/cm³. For the formation energy without anion corrections, the calculation gives -1.1 eV/f.u.

abc: 4.0621 4.0621 3.8898
angles: 90.00 90.00 90.00
Closest atoms and distances in Å follow each position.
Element x y z (fractional)
Re  0.0000  0.0000  0.5000  2 N 1.94
Li  0.0000  0.5000  0.0000  2 N 2.03
Li  0.5000  0.0000  0.0000  2 N 2.03
Au  0.5000  0.5000  0.5000  8 Li 2.81, 4 Re 2.87
N  0.0000  0.0000  0.0000  2 Re 1.94, 4 Li 2.03



VASP calculation (PBE) on an optimized crystal structure of Li2RuAuN.

## Properties
As for the uncorrected energy: -5.26 eV per atom. The total magnetic moment comes out at 0.0 Bohr magnetons per cell. The calculation puts the mass density at 8.5 g/cm³. For the formation energy without anion corrections, the calculation gives -1.6 eV/f.u.

abc: 4.0853 4.0853 3.8091
angles: 90.00 90.00 90.00
Closest atoms and distances in Å follow each position.
Element x y z (fractional)
Ru  0.0000  0.0000  0.5000  2 N 1.90
Li  0.0000  0.5000  0.0000  2 N 2.04
Li  0.5000  0.0000  0.0000  2 N 2.04
Au  0.5000  0.5000  0.5000  8 Li 2.79, 4 Ru 2.89
N  0.0000  0.0000  0.0000  2 Ru 1.90, 4 Li 2.04



VASP calculation (PBE) on an optimized crystal structure of LiAuSN2.

## Properties
As for the uncorrected energy: -3.49 eV per atom. The total magnetic moment comes out at 2.7 Bohr magnetons per cell. The calculation puts the mass density at 6.0 g/cm³. For the formation energy without anion corrections, the calculation gives 8.5 eV/f.u.

abc: 3.6218 3.6218 5.5978
angles: 90.00 90.00 90.00
Closest atoms and distances in Å follow each position.
Element x y z (fractional)
S  0.0000  0.0000  0.5000  4 Au 2.56, 2 Li 2.80
Li  0.0000  0.0000  0.0000  4 N 1.81
Au  0.5000  0.5000  0.5000  4 S 2.56
N  0.0000  0.5000  0.0000  2 Li 1.81
N  0.5000  0.0000  0.0000  2 Li 1.81



VASP calculation (PBE) on an optimized crystal structure of LiAuSN2.

## Properties
As for the uncorrected energy: -3.86 eV per atom. The total magnetic moment comes out at 3.7 Bohr magnetons per cell. The calculation puts the mass density at 5.0 g/cm³. For the formation energy without anion corrections, the calculation gives 6.7 eV/f.u.

abc: 4.0386 4.0386 5.4290
angles: 90.00 90.00 90.00
Closest atoms and distances in Å follow each position.
Element x y z (fractional)
S  0.0000  0.0000  0.5000  2 Au 2.71, 4 Li 2.86
Li  0.5000  0.5000  0.5000  4 S 2.86
Au  0.0000  0.0000  0.0000  4 N 2.02
N  0.0000  0.5000  0.0000  2 Au 2.02
N  0.5000  0.0000  0.0000  2 Au 2.02



VASP calculation (PBE) on an optimized crystal structure of LiAuSe2N.

## Properties
As for the uncorrected energy: -3.42 eV per atom. The total magnetic moment comes out at 0.0 Bohr magnetons per cell. The calculation puts the mass density at 5.6 g/cm³. For the formation energy without anion corrections, the calculation gives 3.4 eV/f.u.

abc: 5.4505 5.4505 3.7385
angles: 90.00 90.00 90.00
Closest atoms and distances in Å follow each position.
Element x y z (fractional)
Li  0.5000  0.5000  0.5000  8 Se 3.30
Au  0.0000  0.0000  0.0000  2 N 1.87
Se  0.0000  0.5000  0.0000  2 Au 2.73
Se  0.5000  0.0000  0.0000  2 Au 2.73
N  0.0000  0.0000  0.5000  2 Au 1.87



VASP calculation (PBE) on an optimized crystal structure of LiAuSe2N.

## Properties
As for the uncorrected energy: -3.11 eV per atom. The total magnetic moment comes out at 2.4 Bohr magnetons per cell. The calculation puts the mass density at 7.3 g/cm³. For the formation energy without anion corrections, the calculation gives 4.9 eV/f.u.

abc: 4.8401 4.8401 3.6690
angles: 90.00 90.00 90.00
Closest atoms and distances in Å follow each position.
Element x y z (fractional)
Li  0.0000  0.0000  0.0000  2 N 1.83
Au  0.5000  0.5000  0.5000  8 Se 3.04
Se  0.0000  0.5000  0.0000  2 Li 2.42
Se  0.5000  0.0000  0.0000  2 Li 2.42
N  0.0000  0.0000  0.5000  2 Li 1.83



VASP calculation (PBE) on an optimized crystal structure of LiSn2AuN.

## Properties
As for the uncorrected energy: -3.88 eV per atom. The total magnetic moment comes out at 0.0 Bohr magnetons per cell. The calculation puts the mass density at 7.2 g/cm³. For the formation energy without anion corrections, the calculation gives 2.1 eV/f.u.

abc: 5.0877 4.0679 5.0877
angles: 90.00 90.00 90.00
Closest atoms and distances in Å follow each position.
Element x y z (fractional)
Li  0.5000  0.5000  0.5000  8 Sn 3.26, 4 Au 3.60
Au  0.0000  0.5000  0.0000  2 N 2.03
Sn  0.0000  0.0000  0.5000  2 N 2.54
Sn  0.5000  0.0000  0.0000  2 N 2.54
N  0.0000  0.0000  0.0000  2 Au 2.03



VASP calculation (PBE) on an optimized crystal structure of Li2TcAuN.

## Properties
As for the uncorrected energy: -5.45 eV per atom. The total magnetic moment comes out at 0.7 Bohr magnetons per cell. The calculation puts the mass density at 8.3 g/cm³. For the formation energy without anion corrections, the calculation gives -1.4 eV/f.u.

abc: 4.0694 4.0694 3.8824
angles: 90.00 90.00 90.00
Closest atoms and distances in Å follow each position.
Element x y z (fractional)
Li  0.0000  0.5000  0.0000  2 N 2.03
Li  0.5000  0.0000  0.0000  2 N 2.03
Au  0.5000  0.5000  0.5000  8 Li 2.81, 4 Tc 2.88
Tc  0.0000  0.0000  0.5000  2 N 1.94
N  0.0000  0.0000  0.0000  2 Tc 1.94, 4 Li 2.03



VASP calculation (PBE) on an optimized crystal structure of LiTc2AuN.

## Properties
As for the uncorrected energy: -6.93 eV per atom. The total magnetic moment comes out at 0.0 Bohr magnetons per cell. The calculation puts the mass density at 10.3 g/cm³. For the formation energy without anion corrections, the calculation gives -0.4 eV/f.u.

abc: 3.9740 3.9740 4.2059
angles: 90.00 90.00 90.00
Closest atoms and distances in Å follow each position.
Element x y z (fractional)
Li  0.0000  0.0000  0.5000  2 N 2.10
Au  0.5000  0.5000  0.5000  4 Li 2.81, 8 Tc 2.89
Tc  0.0000  0.5000  0.0000  2 N 1.99
Tc  0.5000  0.0000  0.0000  2 N 1.99
N  0.0000  0.0000  0.0000  4 Tc 1.99, 2 Li 2.10



VASP calculation (PBE) on an optimized crystal structure of LiThAuN.

## Properties
As for the uncorrected energy: -6.28 eV per atom. The total magnetic moment comes out at 0.0 Bohr magnetons per cell. The calculation puts the mass density at 9.5 g/cm³. For the formation energy without anion corrections, the calculation gives -4.2 eV/f.u.

abc: 4.1300 4.1300 9.2233
angles: 90.00 90.00 90.00
Closest atoms and distances in Å follow each position.
Element x y z (fractional)
Li  0.0000  0.0000  0.5000  4 Au 2.65, 4 Li 2.92
Li  0.5000  0.5000  0.5000  4 Au 2.65, 4 Li 2.92
Th  0.0000  0.5000  0.8770  4 N 2.36
Th  0.5000  0.0000  0.1230  4 N 2.36
Au  0.5000  0.0000  0.6798  4 Li 2.65
Au  0.0000  0.5000  0.3202  4 Li 2.65
N  0.5000  0.5000  0.0000  4 Th 2.36
N  0.0000  0.0000  0.0000  4 Th 2.36



no.,DOS(E_F) (states/eV per atom)
1,0.2520
2,0.6278
3,0.6779
4,0.8215
5,0.4757
6,1.1809
7,0.6580
8,0.5232
9,0.1224
10,0.6376
11,0.4874
12,0.4218
13,0.4877
14,0.6159
15,1.0148
16,0.7797
17,0.6463
18,0.4927
19,0.7247
20,0.4122